Hf4CoCuN2 | PBE-GGA | optimized geometry

a b c (Å): 3.1824 3.1824 13.2543
angles (deg): 90.00 90.00 120.00
Space group P-6m2 (No. 187)
Asymmetric unit:
Hf1 0.0000 0.0000 0.1443
Hf2 0.3333 0.6667 0.3428
Co1 0.3333 0.6667 0.0000
Cu1 0.0000 0.0000 0.5000
N1 0.6667 0.3333 0.2459

## Properties
E above lowest polymorph (meV/atom): 0
Crystal system: hexagonal